No. 1
# PBEsol CeCdPt, optimized geometry
# Raw total energy: -5.64 eV/atom
# Crystal system: hexagonal
# E_form: -2.16 eV per formula unit
data_CeCdPt
_cell_length_a 7.5251
_cell_length_b 7.5251
_cell_length_c 3.9549
_cell_angle_alpha 90.00
_cell_angle_beta 90.00
_cell_angle_gamma 120.00
_symmetry_space_group_name_H-M 'P -6 2 m'
_symmetry_Int_Tables_number 189
_symmetry_space_group_name_Hall 'P -6 -2'
loop_
_atom_site_label
_atom_site_type_symbol
_atom_site_fract_x
_atom_site_fract_y
_atom_site_fract_z
_atom_site_occupancy
Ce1 Ce 0.0000 0.4074 0.0000 1
Cd1 Cd 0.0000 0.7471 0.5000 1
Pt1 Pt 0.0000 0.0000 0.0000 1
Pt2 Pt 0.3333 0.6667 0.5000 1



No. 2
# PBEsol RbTl2Bi2, optimized geometry
# Raw total energy: -3.08 eV/atom
# Crystal system: tetragonal
# E_form: -0.54 eV per formula unit
# ΔE to the lowest computed polymorph: 0.281 eV per formula unit
data_RbTl2Bi2
_cell_length_a 9.5664
_cell_length_b 9.5664
_cell_length_c 3.7231
_cell_angle_alpha 90.00
_cell_angle_beta 90.00
_cell_angle_gamma 90.00
_symmetry_space_group_name_H-M 'P 4/m b m'
_symmetry_Int_Tables_number 127
_symmetry_space_group_name_Hall '-P 4 2ab'
loop_
_atom_site_label
_atom_site_type_symbol
_atom_site_fract_x
_atom_site_fract_y
_atom_site_fract_z
_atom_site_occupancy
Rb1 Rb 0.0000 0.0000 0.0000 1
Tl1 Tl 0.1638 0.3362 0.5000 1
Bi1 Bi 0.1208 0.6208 0.0000 1



No. 3
# PBEsol Al2Ag, optimized geometry
# Raw total energy: -3.87 eV/atom
# Crystal system: monoclinic
# E_form: -0.12 eV per formula unit
data_Al2Ag
_cell_length_a 7.0156
_cell_length_b 5.6037
_cell_length_c 4.9465
_cell_angle_alpha 90.00
_cell_angle_beta 90.20
_cell_angle_gamma 90.00
_symmetry_space_group_name_H-M 'P 1 21/c 1'
_symmetry_Int_Tables_number 14
_symmetry_space_group_name_Hall '-P 2ybc'
loop_
_atom_site_label
_atom_site_type_symbol
_atom_site_fract_x
_atom_site_fract_y
_atom_site_fract_z
_atom_site_occupancy
Al1 Al 0.9998 0.1280 0.2469 1
Al2 Al 0.3335 0.1210 0.5909 1
Ag1 Ag 0.3304 0.6183 0.5912 1



No. 4
# PBEsol CsSiOF2, optimized geometry
# Energy relative to the elements, uncorrected: -10.5 eV/f.u.
# Raw total energy: -5.26 eV/atom
# Crystal system: tetragonal
data_CsSiOF2
_cell_length_a 4.5440
_cell_length_b 4.5440
_cell_length_c 3.5651
_cell_angle_alpha 90.00
_cell_angle_beta 90.00
_cell_angle_gamma 90.00
_symmetry_space_group_name_H-M 'P 4/m m m'
_symmetry_Int_Tables_number 123
_symmetry_space_group_name_Hall '-P 4 2'
loop_
_atom_site_label
_atom_site_type_symbol
_atom_site_fract_x
_atom_site_fract_y
_atom_site_fract_z
_atom_site_occupancy
Cs1 Cs 0.0000 0.0000 0.0000 1
Si1 Si 0.5000 0.5000 0.5000 1
O1 O 0.5000 0.5000 0.0000 1
F1 F 0.0000 0.5000 0.5000 1